LiHo2Th | GGA-PBE | optimized geometry

a b c (Å): 3.4776 3.4776 11.4697
angles (deg): 81.28 81.28 60.00
Last column: nearest neighbours and their distance in Å.
Positions (direct):
1 Ho 0.0807 0.0807 0.7580  3 Li 3.40, 6 Ho 3.48, 3 Th 3.54
2 Ho 0.2528 0.2528 0.2417  3 Li 3.38, 6 Ho 3.48, 3 Th 3.54
3 Th 0.5002 0.5002 0.4994  6 Th 3.48, 6 Ho 3.54
4 Li 0.6664 0.6664 0.0009  6 Ho 3.38-3.40, 6 Li 3.48

For the formation energy, the calculation gives 11.78 kJ/mol of atoms. As for the excess energy over the best structure of this formula in the dataset: 66.4 meV per atom. Its space group is No. 160.



LiHo2Th | GGA-PBE | optimized geometry

a b c (Å): 3.6202 3.6202 8.6435
angles (deg): 90.00 90.00 90.00
Last column: nearest neighbours and their distance in Å.
Positions (direct):
1 Li 0.5000 0.5000 0.0000  8 Ho 3.24, 4 Li 3.62
2 Th 0.5000 0.5000 0.5000  8 Ho 3.47, 4 Th 3.62
3 Ho 0.0000 0.0000 0.2290  4 Li 3.24, 4 Th 3.47, 4 Ho 3.62
4 Ho 0.0000 0.0000 0.7710  4 Li 3.24, 4 Th 3.47, 4 Ho 3.62

For the formation energy, the calculation gives 5.38 kJ/mol of atoms. As for the excess energy over the best structure of this formula in the dataset: 0.0 meV per atom. Its space group is No. 123.



LiHo2Th | GGA-PBE | optimized geometry

a b c (Å): 3.5959 5.6938 5.6938
angles (deg): 90.00 90.00 90.00
Last column: nearest neighbours and their distance in Å.
Positions (direct):
1 Ho 0.0000 0.5000 0.0000  4 Th 3.37, 4 Li 3.37, 2 Ho 3.60
2 Li 0.5000 0.0000 0.0000  8 Ho 3.37, 2 Li 3.60
3 Th 0.5000 0.5000 0.5000  8 Ho 3.37, 2 Th 3.60
4 Ho 0.0000 0.0000 0.5000  4 Li 3.37, 4 Th 3.37, 2 Ho 3.60

For the formation energy, the calculation gives 16.87 kJ/mol of atoms. As for the excess energy over the best structure of this formula in the dataset: 119.1 meV per atom. Its space group is No. 123.



Li2Ho2ThTl2 | GGA-PBE | optimized geometry

a b c (Å): 4.8531 4.8531 9.3228
angles (deg): 74.91 74.91 60.00
Last column: nearest neighbours and their distance in Å.
Positions (direct):
1 Th 0.0000 0.0000 0.0000  6 Tl 3.40, 2 Ho 3.45, 6 Li 3.45
2 Tl 0.2612 0.2612 0.2163  3 Li 2.80
3 Ho 0.8708 0.8708 0.3876  3 Li 3.14, 3 Tl 3.19, 3 Ho 3.44, 1 Th 3.45
4 Ho 0.1292 0.1292 0.6124  3 Li 3.14, 3 Tl 3.19, 3 Ho 3.44, 1 Th 3.45
5 Li 0.4090 0.4090 0.7729  3 Tl 2.80
6 Tl 0.7388 0.7388 0.7837  3 Li 2.80
7 Li 0.5910 0.5910 0.2271  3 Tl 2.80

For the formation energy, the calculation gives -10.26 kJ/mol of atoms. Its space group is No. 166.